1.
Computed, not measured: In2AuCl after structural relaxation at the GGA-PBEsol level of DFT.

Properties
E = -3.40 eV per atom
magnetic moment = 0.0 μB per formula unit
calculated density = 8.451 g cm⁻³
ΔE_f (raw) = -41.34 kJ/mol of atoms
energy above the lowest structure with this stoichiometry = 0 meV per atom

Cell and atoms, written as extended XYZ:
```
4
Lattice="-1.673 -2.645 -1.575 0.894 -2.710 3.604 -4.830 1.617 2.415" Properties=species:S:1:pos:R:3 pbc="T T T"
In -2.415 0.809 1.207
In -0.390 -2.678 1.014
Au 0.000 0.000 0.000
Cl -2.805 -1.869 2.222
```



2.
Computed, not measured: NaY2ScMn after structural relaxation at the GGA-PBEsol level of DFT.

Properties
E = -5.15 eV per atom
magnetic moment = 2.4 μB per formula unit
calculated density = 3.625 g cm⁻³
energy relative to the elements = 1.13 eV per atom

Cell and atoms, written as extended XYZ:
```
5
Lattice="4.764 0.000 0.000 0.000 5.377 0.000 0.000 0.000 5.377" Properties=species:S:1:pos:R:3 pbc="T T T"
Y 0.000 0.000 2.689
Y 0.000 2.689 0.000
Sc 2.382 2.689 2.689
Mn 2.382 0.000 0.000
Na 0.000 0.000 0.000
```



3.
Computed, not measured: Se2NF after structural relaxation at the GGA-PBEsol level of DFT.

Properties
E = -3.71 eV per atom
magnetic moment = 0.0 μB per formula unit
calculated density = 6.279 g cm⁻³
ΔE_f (raw) = 80.19 kJ/mol of atoms

Cell and atoms, written as extended XYZ:
```
4
Lattice="-1.008 -0.960 3.908 2.916 -0.014 2.951 0.005 2.941 2.926" Properties=species:S:1:pos:R:3 pbc="T T T"
N 0.000 0.000 0.000
Se 0.478 0.492 2.446
Se 1.435 1.476 7.338
F 0.957 0.984 4.892
```



4.
Computed, not measured: Ba2SrIr after structural relaxation at the GGA-PBEsol level of DFT.

Properties
E = -3.89 eV per atom
magnetic moment = 0.5 μB per formula unit
calculated density = 5.973 g cm⁻³
energy relative to the elements = 0.10 eV per atom
energy above the lowest structure with this stoichiometry = 148 meV per atom

Cell and atoms, written as extended XYZ:
```
4
Lattice="3.771 0.000 0.000 0.000 3.771 0.000 0.000 0.000 10.841" Properties=species:S:1:pos:R:3 pbc="T T T"
Ba 0.000 0.000 10.745
Ba 1.885 1.885 3.743
Ir 0.000 0.000 5.487
Sr 1.885 1.885 7.128
```



5.
Computed, not measured: In2CoTc after structural relaxation at the GGA-PBEsol level of DFT.

Properties
E = -6.05 eV per atom
magnetic moment = 0.0 μB per formula unit
calculated density = 9.615 g cm⁻³
energy relative to the elements = 0.20 eV per atom
energy above the lowest structure with this stoichiometry = 0 meV per atom

Cell and atoms, written as extended XYZ:
```
4
Lattice="-1.754 1.937 1.212 0.203 -1.390 2.515 6.357 4.516 1.985" Properties=species:S:1:pos:R:3 pbc="T T T"
Co 3.797 3.521 3.291
In 6.018 4.275 1.879
In 1.063 1.579 2.437
Tc 3.464 2.461 1.082
```



6.
Computed, not measured: K2Sr2Mg after structural relaxation at the GGA-PBEsol level of DFT.

Properties
E = -1.24 eV per atom
magnetic moment = 0.0 μB per formula unit
calculated density = 1.787 g cm⁻³
energy relative to the elements = 0.30 eV per atom

Cell and atoms, written as extended XYZ:
```
5
Lattice="4.804 0.000 0.000 0.000 4.804 0.000 -2.402 -2.402 11.183" Properties=species:S:1:pos:R:3 pbc="T T T"
Sr 0.000 0.000 9.311
Sr 2.402 2.402 1.872
K 0.000 2.402 5.592
K 2.402 0.000 5.592
Mg 0.000 0.000 0.000
```



7.
Computed, not measured: KPb2Cl5 after structural relaxation at the GGA-PBEsol level of DFT.

Properties
E = -3.73 eV per atom
magnetic moment = 0.0 μB per formula unit
calculated density = 4.913 g cm⁻³
ΔE_f (raw) = -129.02 kJ/mol of atoms
energy above the lowest structure with this stoichiometry = 14 meV per atom

Cell and atoms, written as extended XYZ:
```
32
Lattice="7.969 0.000 0.000 0.000 8.701 0.000 0.000 0.000 12.300" Properties=species:S:1:pos:R:3 pbc="T T T"
K 4.228 4.394 2.125
K 7.725 4.394 8.275
K 0.244 0.043 4.025
K 3.741 0.043 10.175
Pb 3.998 0.142 2.236
Pb 4.644 2.150 6.102
Pb 7.309 2.150 12.252
Pb 7.956 0.142 8.386
Pb 0.013 4.492 3.914
Pb 0.660 6.500 0.047
Pb 3.325 6.500 6.197
Pb 3.971 4.492 10.064
Cl 4.340 2.125 0.040
Cl 5.165 6.395 8.481
Cl 5.390 4.700 5.049
Cl 5.220 8.296 4.912
Cl 5.505 2.251 8.909
Cl 6.449 2.251 2.759
Cl 6.734 8.296 11.062
Cl 6.563 4.700 11.199
Cl 6.788 6.395 2.331
Cl 7.614 2.125 6.190
Cl 0.355 6.475 6.110
Cl 1.181 2.045 9.969
Cl 1.235 3.946 1.238
Cl 1.406 0.349 1.101
Cl 1.520 6.601 9.541
Cl 2.464 6.601 3.391
Cl 2.579 0.349 7.251
Cl 2.749 3.946 7.387
Cl 2.804 2.045 3.819
Cl 3.629 6.475 12.260
```



8.
Computed, not measured: Mo3Se4S2 after structural relaxation at the GGA-PBEsol level of DFT.

Properties
E = -7.39 eV per atom
magnetic moment = 0.0 μB per formula unit
calculated density = 6.126 g cm⁻³
ΔE_f (raw) = -75.80 kJ/mol of atoms

Cell and atoms, written as extended XYZ:
```
9
Lattice="3.222 0.000 0.000 -1.611 2.791 0.000 0.000 0.000 20.131" Properties=species:S:1:pos:R:3 pbc="T T T"
Mo 0.000 0.000 19.569
Mo 0.000 0.000 6.666
Mo 1.611 0.930 13.202
S 1.611 0.930 0.967
S 1.611 0.930 18.037
Se 0.000 0.000 11.520
Se 1.611 0.930 8.348
Se 1.611 0.930 4.985
Se 0.000 0.000 14.884
```



9.
Computed, not measured: ZrCdAg2 after structural relaxation at the GGA-PBEsol level of DFT.

Properties
E = -4.29 eV per atom
magnetic moment = 0.0 μB per formula unit
calculated density = 9.429 g cm⁻³
energy relative to the elements = -0.07 eV per atom

Cell and atoms, written as extended XYZ:
```
4
Lattice="-1.237 0.698 2.625 2.550 -0.697 1.386 2.604 7.825 -0.855" Properties=species:S:1:pos:R:3 pbc="T T T"
Zr 2.635 5.946 1.356
Ag 0.034 0.102 -0.011
Ag 1.290 1.904 1.798
Cd 1.260 3.787 -0.414
```



10.
Computed, not measured: CsTlCl2 after structural relaxation at the GGA-PBEsol level of DFT.

Properties
E = -3.24 eV per atom
magnetic moment = 0.0 μB per formula unit
calculated density = 3.482 g cm⁻³
ΔE_f (raw) = -129.44 kJ/mol of atoms
energy above the lowest structure with this stoichiometry = 64 meV per atom

Cell and atoms, written as extended XYZ:
```
8
Lattice="7.360 0.000 0.000 0.000 7.360 0.000 -3.680 -3.680 7.189" Properties=species:S:1:pos:R:3 pbc="T T T"
Cs 3.680 0.000 3.595
Cs 3.680 3.680 0.000
Tl 0.000 3.680 3.595
Tl 0.000 0.000 0.000
Cl 1.593 5.520 1.797
Cl 5.767 1.840 1.797
Cl -1.840 -2.087 5.392
Cl 1.840 2.087 5.392
```



11.
Computed, not measured: ZnP2H14C2N6O6 after structural relaxation at the GGA-PBEsol level of DFT.

Properties
E = -6.05 eV per atom
magnetic moment = 0.0 μB per formula unit
calculated density = 1.835 g cm⁻³

Cell and atoms, written as extended XYZ:
```
62
Lattice="9.217 -0.138 0.000 -1.831 9.035 0.000 -3.693 -4.448 7.534" Properties=species:S:1:pos:R:3 pbc="T T T"
Zn 0.058 7.467 0.000
Zn 6.497 -1.637 3.767
P -3.629 4.768 4.918
P 2.948 7.069 1.151
P -1.660 7.138 2.616
P -2.713 0.250 6.383
H 3.187 4.076 1.045
H -0.394 4.314 1.283
H 4.214 4.245 2.484
H -1.422 4.146 2.722
H -1.714 2.273 3.756
H 1.144 5.715 3.778
H 2.796 5.262 4.325
H -0.643 5.084 4.812
H -2.702 5.718 5.428
H -1.787 1.201 5.872
H -0.620 4.042 6.251
H 2.970 3.925 6.261
H 3.711 0.745 6.976
H 1.466 3.268 6.985
H 2.060 1.198 7.523
H 2.895 2.203 0.011
H 0.751 2.407 0.549
H 3.644 0.663 0.558
H 0.382 0.807 1.272
H 2.184 5.984 1.662
H -2.424 6.053 2.105
H 4.990 0.738 2.494
H -0.965 0.732 3.209
H 5.360 2.337 3.218
H 2.381 -1.250 4.316
H 3.886 -0.593 5.039
H 0.295 -0.475 5.050
H 0.272 0.566 6.489
C 1.203 4.530 5.412
C 4.070 2.364 1.645
C -0.538 2.433 2.122
C 2.118 0.013 5.889
N 3.870 3.684 1.700
N -0.739 3.753 2.066
N 1.771 5.218 4.420
N -0.132 4.484 5.467
N 1.943 3.898 6.319
N 2.686 0.701 6.881
N 3.498 1.679 0.653
N 0.219 1.822 1.214
N 4.828 1.753 2.552
N -1.110 1.748 3.114
N 2.858 -0.620 4.981
N 0.783 -0.033 5.833
O 4.569 5.462 4.083
O -2.875 3.766 4.068
O -4.357 4.155 6.132
O -1.960 -0.752 7.233
O -3.733 1.083 7.218
O 1.942 7.919 0.316
O 4.072 6.512 0.301
O -1.192 7.967 1.401
O 5.247 -1.137 2.365
O -0.537 6.582 3.466
O -0.836 -1.047 3.451
O 5.776 -0.500 5.168
```



12.
Computed, not measured: ZnH2I after structural relaxation at the GGA-PBEsol level of DFT.

Properties
E = -2.18 eV per atom
magnetic moment = 0.0 μB per formula unit
calculated density = 5.433 g cm⁻³

Cell and atoms, written as extended XYZ:
```
8
Lattice="-5.252 1.684 0.158 -3.856 -3.202 2.308 -2.285 1.461 4.805" Properties=species:S:1:pos:R:3 pbc="T T T"
I -2.848 -0.014 1.818
I 0.000 0.000 0.000
H -5.978 -0.766 2.142
H -7.121 -0.036 4.544
H -4.495 -0.878 4.465
H -5.193 1.565 3.390
Zn -8.545 -0.043 5.453
Zn -5.697 -0.028 3.635
```



13.
Computed, not measured: TlP2 after structural relaxation at the GGA-PBEsol level of DFT.

Properties
E = -4.69 eV per atom
magnetic moment = 0.0 μB per formula unit
calculated density = 6.837 g cm⁻³
energy relative to the elements = 0.05 eV per atom
energy above the lowest structure with this stoichiometry = 15 meV per atom

Cell and atoms, written as extended XYZ:
```
6
Lattice="-2.049 -0.983 2.356 3.071 0.381 5.103 -2.221 6.200 2.929" Properties=species:S:1:pos:R:3 pbc="T T T"
P -1.969 4.294 4.627
P -0.445 3.397 3.303
P -0.753 2.201 7.085
P 0.771 1.304 5.761
Tl -1.248 0.275 3.577
Tl 0.050 5.323 6.811
```



14.
Computed, not measured: Ca3RuS after structural relaxation at the GGA-PBEsol level of DFT.

Properties
E = -4.27 eV per atom
magnetic moment = 0.0 μB per formula unit
calculated density = 3.017 g cm⁻³
ΔE_f (raw) = -7.32 kJ/mol of atoms

Cell and atoms, written as extended XYZ:
```
5
Lattice="5.186 0.000 0.000 0.000 5.186 0.000 0.000 0.000 5.186" Properties=species:S:1:pos:R:3 pbc="T T T"
Ru 0.000 0.000 0.000
Ca 0.000 2.593 0.000
Ca 0.000 0.000 2.593
Ca 2.593 0.000 0.000
S 2.593 2.593 2.593
```



15.
Computed, not measured: GaPdIN2 after structural relaxation at the GGA-PBEsol level of DFT.

Properties
E = -4.31 eV per atom
magnetic moment = 3.3 μB per formula unit
calculated density = 5.119 g cm⁻³
ΔE_f (raw) = 126.97 kJ/mol of atoms

Cell and atoms, written as extended XYZ:
```
5
Lattice="-0.707 -2.531 -2.985 3.811 -1.136 0.060 -1.520 -4.864 4.484" Properties=species:S:1:pos:R:3 pbc="T T T"
I -0.760 -2.432 2.242
Ga 0.792 -4.266 0.779
Pd 0.000 0.000 0.000
N 1.906 -0.568 0.030
N -0.354 -1.266 -1.493
```



16.
Computed, not measured: AgMo2Ru after structural relaxation at the GGA-PBEsol level of DFT.

Properties
E = -8.84 eV per atom
magnetic moment = 0.0 μB per formula unit
calculated density = 11.065 g cm⁻³
energy relative to the elements = 0.41 eV per atom
energy above the lowest structure with this stoichiometry = 146 meV per atom

Cell and atoms, written as extended XYZ:
```
4
Lattice="-1.997 1.719 1.107 -2.577 -3.669 1.049 3.599 -0.321 3.300" Properties=species:S:1:pos:R:3 pbc="T T T"
Ag -1.289 -1.835 0.525
Mo 0.672 -0.580 2.113
Mo -1.647 -1.690 3.343
Ru -0.998 0.860 0.554
```



17.
Computed, not measured: Cu2RuBr after structural relaxation at the GGA-PBEsol level of DFT.

Properties
E = -4.49 eV per atom
magnetic moment = 0.0 μB per formula unit
calculated density = 9.162 g cm⁻³
ΔE_f (raw) = 66.21 kJ/mol of atoms
energy above the lowest structure with this stoichiometry = 0 meV per atom

Cell and atoms, written as extended XYZ:
```
4
Lattice="-1.562 2.521 0.341 -3.418 -1.877 -1.774 -1.308 -1.344 3.942" Properties=species:S:1:pos:R:3 pbc="T T T"
Br -2.363 -1.611 1.084
Cu 0.000 0.000 0.000
Cu -2.490 0.322 -0.717
Ru -1.435 0.588 2.142
```



18.
Computed, not measured: YAg2Rh after structural relaxation at the GGA-PBEsol level of DFT.

Properties
E = -5.80 eV per atom
magnetic moment = 0.0 μB per formula unit
calculated density = 9.604 g cm⁻³
energy relative to the elements = -0.41 eV per atom
energy above the lowest structure with this stoichiometry = 0 meV per atom

Cell and atoms, written as extended XYZ:
```
4
Lattice="3.933 0.000 0.000 0.000 3.929 0.000 -1.966 -1.965 4.560" Properties=species:S:1:pos:R:3 pbc="T T T"
Y 0.000 1.965 0.000
Rh 1.966 0.000 0.000
Ag 1.966 1.965 2.279
Ag 0.000 0.000 2.281
```



19.
Computed, not measured: Sc3Cu after structural relaxation at the GGA-PBEsol level of DFT.

Properties
E = -6.13 eV per atom
magnetic moment = 0.0 μB per formula unit
calculated density = 4.117 g cm⁻³
energy relative to the elements = -0.09 eV per atom
energy above the lowest structure with this stoichiometry = 41 meV per atom

Cell and atoms, written as extended XYZ:
```
4
Lattice="3.330 0.000 0.000 0.000 4.762 0.000 -1.665 -2.381 5.046" Properties=species:S:1:pos:R:3 pbc="T T T"
Sc 1.665 0.000 0.000
Sc 1.665 2.381 2.127
Sc 0.000 0.000 2.919
Cu 0.000 2.381 0.000
```



20.
Computed, not measured: Ba2NiAg after structural relaxation at the GGA-PBEsol level of DFT.

Properties
E = -3.36 eV per atom
magnetic moment = 0.0 μB per formula unit
calculated density = 6.366 g cm⁻³
energy relative to the elements = 0.08 eV per atom
energy above the lowest structure with this stoichiometry = 80 meV per atom

Cell and atoms, written as extended XYZ:
```
4
Lattice="3.876 0.000 0.000 0.000 5.449 0.000 0.000 0.000 5.449" Properties=species:S:1:pos:R:3 pbc="T T T"
Ag 1.938 0.000 0.000
Ba 0.000 0.000 2.724
Ba 0.000 2.724 0.000
Ni 1.938 2.724 2.724
```



21.
Computed, not measured: CoPtRh2 after structural relaxation at the GGA-PBEsol level of DFT.

Properties
E = -7.73 eV per atom
magnetic moment = 2.3 μB per formula unit
calculated density = 14.494 g cm⁻³
energy relative to the elements = 0.01 eV per atom

Cell and atoms, written as extended XYZ:
```
4
Lattice="2.661 0.000 0.000 0.000 4.575 -0.005 -1.331 -0.801 4.328" Properties=species:S:1:pos:R:3 pbc="T T T"
Rh 0.000 0.713 2.119
Rh 1.331 3.062 2.203
Co 1.331 0.000 0.000
Pt 0.000 2.288 -0.003
```



22.
Computed, not measured: InFeSb2H after structural relaxation at the GGA-PBEsol level of DFT.

Properties
E = -3.28 eV per atom
magnetic moment = 3.7 μB per formula unit
calculated density = 4.568 g cm⁻³

Cell and atoms, written as extended XYZ:
```
5
Lattice="-0.824 3.572 3.293 0.542 -3.665 4.111 5.430 1.050 0.220" Properties=species:S:1:pos:R:3 pbc="T T T"
Sb 2.715 0.525 0.110
Sb 0.271 -1.833 2.056
Fe -0.412 1.786 1.647
H 2.573 0.478 3.812
In 0.000 0.000 0.000
```



23.
Computed, not measured: NaHS2Cl after structural relaxation at the GGA-PBEsol level of DFT.

Properties
E = -3.30 eV per atom
magnetic moment = 0.0 μB per formula unit
calculated density = 2.229 g cm⁻³

Cell and atoms, written as extended XYZ:
```
5
Lattice="3.645 0.000 0.000 0.000 3.645 0.000 0.000 0.000 6.928" Properties=species:S:1:pos:R:3 pbc="T T T"
Na 1.823 1.823 3.464
S 0.000 1.823 0.000
S 1.823 0.000 0.000
H 0.000 0.000 0.000
Cl 0.000 0.000 3.464
```